Entry 1:
VASP calculation (PBE-GGA) on a relaxed structure of CaTc2Mo.

The calculation puts the offset from the most stable computed form at 168 meV per atom. The space group is No. 12.

Cell and atoms, written as POSCAR:
```
CaTc2Mo
1.0
-3.889 -0.655 -3.140
-2.584 -3.386 -2.697
-4.207 -1.525 2.988
Tc Ca Mo
2 1 1
Direct
0.530 0.530 0.425
0.970 0.970 0.075
0.750 0.750 0.750
0.250 0.250 0.250
```

=====

Entry 2:
VASP calculation (PBE-GGA) on a relaxed structure of Pr3Nd2Dy8.

The calculation puts the offset from the most stable computed form at 230 meV per atom. The space group is No. 12.

Cell and atoms, written as POSCAR:
```
Pr3Nd2Dy8
1.0
-0.605 -4.916 -2.744
3.692 -3.650 5.725
-10.809 0.262 1.922
Nd Dy Pr
2 8 3
Direct
0.501 0.758 0.517
0.499 0.242 0.483
0.500 0.398 0.216
0.500 0.182 0.784
0.001 0.667 0.334
0.999 0.333 0.666
0.500 0.818 0.216
0.500 0.602 0.784
0.000 0.133 0.266
0.000 0.867 0.734
0.000 0.293 0.000
0.000 0.707 0.000
0.500 0.000 0.000
```

=====

Entry 3:
VASP calculation (PBE-GGA) on a relaxed structure of Hg2Pt.

The calculation puts the offset from the most stable computed form at 224 meV per atom. The space group is No. 141.

Cell and atoms, written as POSCAR:
```
Hg2Pt
1.0
4.332 0.000 0.000
0.000 4.332 0.000
-2.166 -2.166 12.447
Hg Pt
8 4
Direct
0.413 0.413 0.826
0.499 0.999 0.997
0.587 0.587 0.174
0.751 0.751 0.503
0.249 0.249 0.497
0.837 0.337 0.674
0.001 0.501 0.003
0.663 0.163 0.326
0.918 0.918 0.836
0.082 0.082 0.164
0.168 0.668 0.336
0.332 0.832 0.664
```